Below is GdTmTa2Ge2 after structural relaxation, with properties calculated at the GGA-PBE level.

Cell: 4.0196 4.0196 7.8368 Å, 90.00 90.00 90.00°
Site moments in Bohr magnetons follow the coordinates.
Element x y z (fractional)
1 Gd 0.0000 0.0000 0.3551  0.30
2 Ge 0.5000 0.5000 0.2447  -0.01
3 Ge 0.0000 0.0000 0.7522  -0.01
4 Ta 0.5000 0.0000 0.9986  0.04
5 Ta 0.0000 0.5000 0.9986  0.04
6 Tm 0.5000 0.5000 0.6508  0.32

Values from the calculation:
Raw total energy, eV/atom: -7.598